# 1
A plane-wave DFT calculation with PBE was carried out for TbHfBi3 after structural relaxation.

Structure (POSCAR):
```
TbHfBi3
1.0
-2.0257 -2.4557 -3.1376
7.1141 -1.7967 -3.1867
0.9944 -13.0754 9.5918
Bi Tb Hf
12 4 4
Cartesian
0.0284 -2.5668 0.3988
0.7384 -6.0788 -0.4946
4.2240 -6.0375 -2.7772
1.0925 -7.8676 3.8606
3.8008 -6.2960 0.8821
1.0040 -2.9167 -3.1409
4.9904 -9.4602 -0.5931
1.8588 -11.2903 6.0447
5.3444 -11.2490 3.7620
5.0789 -14.4111 6.4083
2.2821 -11.0318 2.3854
6.0544 -14.7610 2.8687
3.0053 -13.7030 4.0091
-0.7224 -10.5610 3.9566
6.8053 -6.7668 -0.6891
3.0776 -3.6248 -0.7417
4.5441 -8.6922 2.2777
4.6593 -3.7928 -4.8151
1.5388 -8.6356 0.9898
1.4236 -13.5349 8.0825
```

Values from the calculation:
The symmetry is Pnma (62). The total energy is -5.551 eV/atom. As for the formation energy: -0.306 eV/atom.

# 2
A plane-wave DFT calculation with PBE was carried out for Hf3TcBi after structural relaxation.

Structure (POSCAR):
```
Hf3TcBi
1.0
-4.0824 0.8809 -2.7842
-2.9141 -1.5399 3.7856
-0.1898 4.6954 1.7639
Bi Hf Tc
1 3 1
Cartesian
-3.5932 2.0182 1.3826
-2.0412 0.4405 -1.3921
-1.4571 -0.7700 1.8928
-0.0949 2.3477 0.8820
0.0000 0.0000 0.0000
```

Values from the calculation:
The symmetry is Pm-3m (221). The total energy is -8.519 eV/atom. The value obtained for the polymorph energy (0 for the lowest one) is 0 meV per atom. As for the formation energy: 0.302 eV/atom.

# 3
A plane-wave DFT calculation with PBE was carried out for HfTcBi after structural relaxation.

Structure (POSCAR):
```
HfTcBi
1.0
3.4325 0.0000 0.0000
0.0000 3.4325 0.0000
-1.7163 -1.7163 11.9909
Tc Bi Hf
2 2 2
Cartesian
1.7163 1.7163 5.1453
0.0000 0.0000 6.8456
0.0000 0.0000 10.1596
1.7163 1.7163 1.8313
0.0000 0.0000 3.9060
1.7163 1.7163 8.0849
```

Values from the calculation:
The symmetry is I4/mmm (139). The total energy is -8.145 eV/atom. As for the formation energy: -0.078 eV/atom.

# 4
A plane-wave DFT calculation with PBE was carried out for HfTc2Bi after structural relaxation.

Structure (POSCAR):
```
HfTc2Bi
1.0
7.5186 0.0000 0.0000
0.0000 7.5186 0.0000
3.7593 3.7593 2.9018
Bi Tc Hf
2 4 2
Cartesian
0.0000 0.0000 0.0000
7.5186 3.7593 1.4509
9.3982 9.2309 2.1763
2.0470 5.6389 0.7254
5.6389 5.8063 2.1763
5.4716 1.8796 0.7254
3.7593 3.7593 0.0000
3.7593 7.5186 1.4509
```

Values from the calculation:
The symmetry is I-42d (122). The total energy is -7.800 eV/atom. As for the formation energy: 0.841 eV/atom.

# 5
A plane-wave DFT calculation with PBE was carried out for Hf3TcBi after structural relaxation.

Structure (POSCAR):
```
Hf3TcBi
1.0
-4.6157 -1.2129 2.2163
1.3928 -5.0727 0.1247
2.1078 0.6960 4.7708
Tc Hf Bi
1 3 1
Cartesian
-0.5575 -2.7948 3.5559
1.0539 0.3480 2.3854
0.6964 -2.5364 0.0623
-2.3079 -0.6064 1.1081
0.0000 0.0000 0.0000
```

Values from the calculation:
The symmetry is Pm-3m (221). The total energy is -6.993 eV/atom. The value obtained for the polymorph energy (0 for the lowest one) is 1526 meV per atom. As for the formation energy: 1.828 eV/atom.

# 6
A plane-wave DFT calculation with PBE was carried out for Hf8TcBi2 after structural relaxation.

Structure (POSCAR):
```
Hf8TcBi2
1.0
4.9521 0.0000 0.0000
0.0000 5.8121 0.6764
-2.4761 -1.3844 8.2696
Bi Hf Tc
2 8 1
Cartesian
2.4761 0.1510 5.7037
0.0000 4.2766 3.2423
2.4761 3.1299 1.7657
0.0000 1.3599 4.0324
0.0000 1.2977 7.1803
0.0000 1.4018 0.8087
0.0000 4.1751 6.3850
2.4761 3.0677 4.9136
2.4761 0.2525 2.5611
2.4761 3.0259 8.1373
2.4761 0.0000 0.0000
```

Values from the calculation:
The symmetry is C2/m (12). The total energy is -8.947 eV/atom. As for the formation energy: -0.060 eV/atom.

# 7
A plane-wave DFT calculation with PBE was carried out for Hf12TcBi6 after structural relaxation.

Structure (POSCAR):
```
Hf12TcBi6
1.0
-6.2909 -4.9639 -1.2473
5.6786 -3.1629 -4.8497
2.5551 -2.2711 7.3542
Hf Bi Tc
12 6 1
Cartesian
0.0396 -9.2534 2.4588
-0.8734 -4.0828 1.2223
1.0360 -6.3438 2.5487
3.6655 -8.6495 1.8503
0.5430 -0.9798 2.2631
2.1389 -3.4894 1.4749
1.9032 -1.1445 -1.2017
-0.1960 -6.9085 -0.2177
1.3999 -9.4182 -1.0059
0.9069 -4.0541 -1.2915
2.8162 -6.3151 0.0349
-1.7226 -1.7484 -0.5931
-2.0521 -6.9782 2.0724
1.8154 -6.8314 -2.6903
-1.9499 -4.6407 -1.7264
3.9950 -3.4198 -0.8153
0.1275 -3.5666 3.9475
3.8928 -5.7572 2.9836
0.0000 0.0000 0.0000
```

Values from the calculation:
The symmetry is R-3 (148). The total energy is -7.898 eV/atom. As for the formation energy: 0.160 eV/atom.

# 8
A plane-wave DFT calculation with PBE was carried out for Hf6TcBi3 after structural relaxation.

Structure (POSCAR):
```
Hf6TcBi3
1.0
7.0272 0.0000 0.1687
0.0000 7.4971 0.0000
0.3365 0.0000 9.2427
Bi Tc Hf
6 2 12
Cartesian
0.7275 4.7737 2.2888
6.6362 2.7234 7.1226
0.1682 0.0000 4.6214
2.9543 1.0252 2.4169
4.4094 6.4719 6.9945
3.5136 3.7485 0.0843
3.6819 3.7485 4.7057
0.0000 0.0000 0.0000
4.5972 1.4203 5.1011
6.4484 5.1688 9.0161
2.7666 6.0767 4.3103
5.2846 3.1196 2.4890
2.0791 4.3775 6.9224
0.9153 2.3282 0.3954
5.9979 4.8157 5.0774
5.4245 6.8681 2.3854
5.0476 1.0672 9.0397
1.3658 2.6814 4.3340
1.9393 0.6289 7.0260
2.3161 6.4299 0.3717
```

Values from the calculation:
The symmetry is P2_1/c (14). The total energy is -8.082 eV/atom. As for the formation energy: 0.091 eV/atom.

# 9
A plane-wave DFT calculation with PBE was carried out for HfTcBi2 after structural relaxation.

Structure (POSCAR):
```
HfTcBi2
1.0
4.3773 0.0000 0.0000
0.0000 4.3773 0.0000
2.1887 2.1887 10.2025
Tc Hf Bi
2 2 4
Cartesian
2.1887 2.1887 0.0000
2.1887 4.3773 5.1012
0.0000 0.0000 0.0000
4.3773 2.1887 5.1012
1.1357 3.2830 2.5506
3.2417 1.0943 2.5506
3.2830 3.3243 7.6519
5.4717 5.4303 7.6519
```

Values from the calculation:
The symmetry is I-42d (122). The total energy is -6.423 eV/atom. The value obtained for the polymorph energy (0 for the lowest one) is 231 meV per atom. As for the formation energy: 0.597 eV/atom.

# 10
A plane-wave DFT calculation with PBE was carried out for Hf2Tc2Bi after structural relaxation.

Structure (POSCAR):
```
Hf2Tc2Bi
1.0
-6.3157 2.1069 3.8151
3.7546 -0.7804 6.6465
0.9774 3.2407 -0.1717
Tc Bi Hf
4 2 4
Cartesian
0.7607 -0.0700 3.0093
-3.3218 1.3966 7.4523
-3.4418 1.2005 3.0675
0.8807 0.1260 7.3941
0.0000 0.0000 0.0000
-1.2806 0.6633 5.2308
1.8951 1.4741 5.1610
-0.8175 2.1429 2.3423
-0.7662 2.4243 7.9476
-3.4788 3.0932 5.1290
```

Values from the calculation:
The symmetry is P4/mbm (127). The total energy is -8.866 eV/atom. As for the formation energy: 0.038 eV/atom.

# 11
A plane-wave DFT calculation with PBE was carried out for HfTcBi2 after structural relaxation.

Structure (POSCAR):
```
HfTcBi2
1.0
-2.5585 -4.1203 1.1814
-1.2351 -0.8940 4.7533
-4.7641 0.3499 1.4491
Bi Hf Tc
2 1 1
Cartesian
-6.4183 -3.4983 5.5378
-2.1394 -1.1661 1.8459
-4.2789 -2.3322 3.6919
0.0000 0.0000 0.0000
```

Values from the calculation:
The symmetry is Fm-3m (225). The total energy is -6.654 eV/atom. The value obtained for the polymorph energy (0 for the lowest one) is 0 meV per atom. As for the formation energy: 0.366 eV/atom.

# 12
A plane-wave DFT calculation with PBE was carried out for HfTiTc2Bi after structural relaxation.

Structure (POSCAR):
```
HfTiTc2Bi
1.0
4.7312 0.0000 0.0000
0.0000 5.4120 0.0000
0.0000 0.0000 4.7312
Bi Ti Tc Hf
1 1 2 1
Cartesian
0.0000 2.7060 0.0000
2.3656 2.7060 2.3656
0.0000 0.0000 2.3656
2.3656 0.0000 0.0000
0.0000 0.0000 0.0000
```

Values from the calculation:
The symmetry is P4/mmm (123). The total energy is -6.920 eV/atom. As for the formation energy: 1.572 eV/atom.